(1)
First-principles (PBE-GGA) data for a relaxed Mg2BiBr crystal, as listed in Alexandria via LeMat-Bulk.

The structure belongs to space group Cmc2_1 (No. 36); the cell edges are 4.555, 16.979 and 7.034 Å and the angles 90.00°, 90.00° and 90.00°. The distinct sites, in fractional coordinates, are Mg at (0.000, 0.087, 0.000), Mg at (0.000, 0.195, 0.407), Bi at (0.000, 0.330, 0.650) and Br at (0.000, 0.061, 0.631).

For the energy above the most stable polymorph in this dataset, the calculation gives 32 meV/atom. As for the uncorrected formation energy: -0.61 eV per atom.



(2)
First-principles (PBE-GGA) data for a relaxed ScAs2Se crystal, as listed in Alexandria via LeMat-Bulk.

The structure belongs to space group I-42d (No. 122); the cell edges are 5.694, 5.694 and 14.044 Å and the angles 90.00°, 90.00° and 90.00°. The distinct sites, in fractional coordinates, are Sc at (0.000, 0.000, 0.000), As at (0.246, 0.250, 0.625) and Se at (0.000, 0.000, 0.500).

As for the uncorrected formation energy: -0.08 eV per atom.



(3)
First-principles (PBE-GGA) data for a relaxed K2Ta3O8 crystal, as listed in Alexandria via LeMat-Bulk.

The structure belongs to space group C2/m (No. 12); the cell edges are 13.141, 6.321 and 5.315 Å and the angles 90.00°, 109.06° and 90.00°. The distinct sites, in fractional coordinates, are K at (0.227, 0.000, 0.173), Ta at (0.000, 0.232, 0.500), Ta at (0.000, 0.500, 0.000), O at (0.085, 0.281, 0.879), O at (0.086, 0.500, 0.394) and O at (0.096, 0.000, 0.460).

As for the uncorrected formation energy: -2.58 eV per atom.



(4)
First-principles (PBE-GGA) data for a relaxed BaFeSi2 crystal, as listed in Alexandria via LeMat-Bulk.

The structure belongs to space group P4/mmm (No. 123); the cell edges are 3.166, 3.166 and 7.417 Å and the angles 90.00°, 90.00° and 90.00°. The distinct sites, in fractional coordinates, are Ba at (0.000, 0.000, 0.000), Fe at (0.000, 0.000, 0.500) and Si at (0.500, 0.500, 0.337).

As for the uncorrected formation energy: 0.02 eV per atom.



(5)
First-principles (PBE-GGA) data for a relaxed Fe4CuPt crystal, as listed in Alexandria via LeMat-Bulk.

The structure belongs to space group F-43m (No. 216); the cell edges are 6.694, 6.694 and 6.694 Å and the angles 90.00°, 90.00° and 90.00°. The distinct sites, in fractional coordinates, are Fe at (0.125, 0.125, 0.125), Cu at (0.250, 0.250, 0.750) and Pt at (0.000, 0.000, 0.500).



(6)
First-principles (PBE-GGA) data for a relaxed InHg2Pb3 crystal, as listed in Alexandria via LeMat-Bulk.

The structure belongs to space group P-1 (No. 2); the cell edges are 5.784, 8.126 and 8.706 Å and the angles 62.37°, 76.53° and 73.58°. The distinct sites, in fractional coordinates, are In at (0.112, 0.247, 0.145), Hg at (0.220, 0.086, 0.530), Hg at (0.452, 0.576, 0.805), Pb at (0.038, 0.412, 0.719), Pb at (0.298, 0.919, 0.946) and Pb at (0.367, 0.749, 0.387).



| no. | V (Å³ per atom) | uncorrected energy (eV/atom) |
| --- | --- | --- |
| 1 | 34.00 | -2.792 |
| 2 | 28.46 | -4.862 |
| 3 | 16.05 | -8.533 |
| 4 | 18.59 | -5.284 |
| 5 | 12.50 | -7.264 |
| 6 | 28.77 | -2.394 |